VASP calculation (SCAN) on Ta2SiHg at its PBEsol-relaxed geometry.

a = 2.9249 Å, b = 2.9249 Å, c = 7.8119 Å
α = 90.00°, β = 90.00°, γ = 90.00°
Space group P4/mmm (No. 123)
Symmetry-distinct sites (fractional):
Ta (0.0000, 0.0000, 0.2194)
Si (0.5000, 0.5000, 0.0000)
Hg (0.5000, 0.5000, 0.5000)

Properties
Size of the total moment ... 0.00 μB/atom
VASP energy ... -52.79 eV per atom